Rb3U3VS8 | the Alexandria database | PBE | optimized geometry; uncorrected formation energy = -30.2 kcal/mol of atoms; total magnetic moment = 10.00 μB/cell
1.0
3.9242 2.2656 7.8930
-3.9242 2.2656 7.8930
0.0000 -4.5313 7.8930
Rb U V S
3 3 1 8
direct
0.0000 0.5000 0.5000
0.5000 0.0000 0.5000
0.5000 0.5000 0.0000
0.0000 0.0000 0.5000
0.0000 0.5000 0.0000
0.5000 0.0000 0.0000
0.5000 0.5000 0.5000
0.2320 0.2320 0.2320
0.2445 0.7182 0.7182
0.2818 0.2818 0.7555
0.2818 0.7555 0.2818
0.7182 0.2445 0.7182
0.7182 0.7182 0.2445
0.7555 0.2818 0.2818
0.7680 0.7680 0.7680